1.
Here is a relaxed structure of LiGa2Te4Au from OQMD. Energies are from GGA-PBE.

POSCAR file:
```
LiGa2Te4Au
1.0
-3.172 3.172 6.091
3.172 -3.172 6.091
3.172 3.172 -6.091
Li Ga Te Au
1 2 4 1
Direct
0.000 0.000 0.000
0.250 0.750 0.500
0.500 0.500 0.000
0.137 0.628 0.012
0.372 0.385 0.509
0.615 0.125 0.988
0.875 0.863 0.491
0.750 0.250 0.500
```

Output
* final energy: -27.27 eV/cell
* symmetry: No. 82

2.
Here is a relaxed structure of Li4ZnGaAu2 from OQMD. Energies are from GGA-PBE.

POSCAR file:
```
Li4ZnGaAu2
1.0
4.393 0.000 0.000
0.000 4.393 0.000
0.000 0.000 6.188
Li Zn Ga Au
4 1 1 2
Direct
0.000 0.000 0.000
0.000 0.500 0.746
0.500 0.000 0.254
0.500 0.500 0.500
0.000 0.000 0.500
0.500 0.500 0.000
0.000 0.500 0.247
0.500 0.000 0.753
```

Output
* final energy: -22.27 eV/cell
* symmetry: No. 115

3.
Here is a relaxed structure of Li2Zn3GaAu2 from OQMD. Energies are from GGA-PBE.

POSCAR file:
```
Li2Zn3GaAu2
1.0
4.410 0.000 0.000
0.000 4.410 0.000
0.000 0.000 6.238
Li Zn Ga Au
2 3 1 2
Direct
0.000 0.500 0.249
0.500 0.000 0.751
0.000 0.000 0.000
0.500 0.500 0.000
0.500 0.500 0.500
0.000 0.000 0.500
0.000 0.500 0.750
0.500 0.000 0.250
```

Output
* final energy: -20.10 eV/cell
* symmetry: No. 115

4.
Here is a relaxed structure of Lu2GaAu from OQMD. Energies are from GGA-PBE.

POSCAR file:
```
Lu2GaAu
1.0
0.000 3.520 3.520
3.520 0.000 3.520
3.520 3.520 0.000
Lu Ga Au
2 1 1
Direct
0.000 0.000 0.000
0.250 0.250 0.250
0.500 0.500 0.500
0.750 0.750 0.750
```

Output
* final energy: -16.23 eV/cell
* symmetry: No. 216
* total magnetic moment: 0.0 μB per cell

5.
Here is a relaxed structure of Lu4GaAuN2 from OQMD. Energies are from GGA-PBE.

POSCAR file:
```
Lu4GaAuN2
1.0
3.405 0.000 0.000
-1.702 2.948 0.000
0.000 0.000 14.421
Lu Ga Au N
4 1 1 2
Direct
0.000 0.000 0.153
0.000 0.000 0.847
0.333 0.667 0.338
0.333 0.667 0.662
0.000 0.000 0.500
0.333 0.667 0.000
0.667 0.333 0.252
0.667 0.333 0.748
```

Output
* final energy: -50.29 eV/cell
* symmetry: No. 187
* total magnetic moment: 0.0 μB per cell

6.
Here is a relaxed structure of LuGaNiAu from OQMD. Energies are from GGA-PBE.

POSCAR file:
```
LuGaNiAu
1.0
0.000 3.261 3.261
3.261 0.000 3.261
3.261 3.261 0.000
Lu Ga Ni Au
1 1 1 1
Direct
0.000 0.000 0.000
0.250 0.250 0.250
0.500 0.500 0.500
0.750 0.750 0.750
```

Output
* final energy: -18.06 eV/cell
* symmetry: No. 216
* total magnetic moment: 0.0 μB per cell

> final energy of number 1 (LiGa2Te4Au)?

-27.27 eV/cell